Computed, not measured: SrAgRh4 after structural relaxation at the PBE level of DFT.

Results
As for the raw total energy: -33.55 eV/cell. For the magnetization, the calculation gives 1.16 μB per formula unit. The formation energy from the elements is 0.4 eV per formula unit.

Unit cell a=5.3445 b=5.3445 c=5.3445 alpha=60.00 beta=60.00 gamma=60.00
With the nearest neighbours (Å) after each atom.
Fractional coordinates of all 6 atoms:
Sr 0.0000 0.0000 0.0000  12 Rh 3.13, 4 Ag 3.27
Ag 0.7500 0.7500 0.7500  12 Rh 3.13, 4 Sr 3.27
Rh 0.3755 0.3755 0.3755  6 Rh 2.66-2.68
Rh 0.3755 0.3755 0.8735  6 Rh 2.66-2.68
Rh 0.3755 0.8735 0.3755  6 Rh 2.66-2.68
Rh 0.8735 0.3755 0.3755  6 Rh 2.66-2.68